No. 1
First-principles (GGA-PBE) data for an optimized crystal structure of BeOsPb2, as listed in Alexandria via LeMat-Bulk.

a = 3.9830 Å, b = 4.1489 Å, c = 5.2855 Å
α = 66.92°, β = 90.00°, γ = 90.00°
Closest atoms and distances in Å follow each position.
Fractional coordinates of all 4 atoms:
Pb: 0.0000 0.9764 0.9229  3 Be 2.87-2.88, 4 Os 3.02
Pb: 0.5000 0.2711 0.3312  3 Os 2.85-2.91, 4 Be 3.00-3.01
Be: 0.0000 0.6816 0.5130  2 Os 2.26
Os: 0.5000 0.5708 0.7329  2 Be 2.26

Results
**Calculated volume**: 20.1 A^3/atom
**Spin magnetization**: 0.00 μB per cell
**Total DFT energy (no corrections)**: -20.40 eV per cell
**Energy of formation from the pure elements**: 494 meV per atom
**Space-group type**: Pm (6)
**DOS(E_F)**: 0.706 states/eV per atom

No. 2
First-principles (GGA-PBE) data for an optimized crystal structure of BeOs2Pb, as listed in Alexandria via LeMat-Bulk.

a = 2.8552 Å, b = 3.5968 Å, c = 6.4277 Å
α = 90.00°, β = 90.00°, γ = 90.00°
Closest atoms and distances in Å follow each position.
Fractional coordinates of all 4 atoms:
Pb: 0.0000 0.0000 0.5043  2 Pb 2.86, 5 Os 3.03-3.07, 4 Be 3.12
Be: 0.5000 0.5000 0.8334  5 Os 2.27-2.47
Os: 0.0000 0.0000 0.9760  4 Be 2.47, 4 Os 2.66
Os: 0.5000 0.5000 0.1863  1 Be 2.27

Results
**Calculated volume**: 16.5 A^3/atom
**Relative energy among the computed polymorphs**: 133 meV per atom
**Spin magnetization**: 0.00 μB per cell
**Total DFT energy (no corrections)**: -27.65 eV per cell
**Energy of formation from the pure elements**: 561 meV per atom
**Space-group type**: Pmm2 (25)
**DOS(E_F)**: 0.598 states/eV per atom

No. 3
First-principles (GGA-PBE) data for an optimized crystal structure of BeOs2Pb, as listed in Alexandria via LeMat-Bulk.

a = 4.3973 Å, b = 4.3973 Å, c = 5.6587 Å
α = 84.19°, β = 84.19°, γ = 39.36°
Closest atoms and distances in Å follow each position.
Fractional coordinates of all 4 atoms:
Pb: 0.4853 0.4853 0.5009  1 Be 2.84, 5 Os 2.92-3.05, 2 Pb 2.96
Be: 0.2813 0.2813 0.1277  5 Os 2.30-2.42
Os: 0.0023 0.0023 0.0377  3 Be 2.37-2.42, 3 Os 2.58-2.63
Os: 0.7311 0.7311 0.8337  2 Be 2.30

Results
**Calculated volume**: 17.2 A^3/atom
**Relative energy among the computed polymorphs**: 174 meV per atom
**Spin magnetization**: 0.00 μB per cell
**Total DFT energy (no corrections)**: -27.49 eV per cell
**Energy of formation from the pure elements**: 602 meV per atom
**Space-group type**: Cm (8)
**DOS(E_F)**: 0.770 states/eV per atom

- What is the energy of formation from the pure elements in the first record?
  494 meV per atom

- Look up the total DFT energy (no corrections) of the third one.
  -27.49 eV per cell